Record 1
Below is MnNiGe after structural relaxation, with properties calculated at the PBE level.

Its density of states at the Fermi level is 1.869 states/eV per cell. The formation energy comes out at -0.1444 eV/atom. The total energy is -20.0 eV for the cell shown. For the total magnetic moment, the calculation gives 3.06 Bohr magnetons per cell.

a = 3.9419 Å, b = 3.9419 Å, c = 3.9419 Å
α = 60.00°, β = 60.00°, γ = 60.00°
With the nearest neighbours (Å) after each atom.
Fractional coordinates of all 3 atoms:
Ge 0.5000 0.5000 0.5000  4 Ni 2.41
Ni 0.2500 0.2500 0.2500  4 Ge 2.41, 4 Mn 2.41
Mn 0.0000 0.0000 0.0000  4 Ni 2.41

=====

Record 2
Below is DySc4PbS8 after structural relaxation, with properties calculated at the PBE level.

Its density of states at the Fermi level is 6.094 states/eV per cell. The total energy is -89.7 eV for the cell shown. For the total magnetic moment, the calculation gives 0.00 Bohr magnetons per cell.

a = 7.7338 Å, b = 7.7338 Å, c = 7.9365 Å
α = 60.84°, β = 60.84°, γ = 60.00°
With the nearest neighbours (Å) after each atom.
Fractional coordinates of all 14 atoms:
S 0.7575 0.7575 0.7276  4 Sc 2.56-2.69
S 0.2330 0.7517 0.2637  3 Sc 2.50-2.70, 1 Dy 2.78
S 0.2296 0.2296 0.3112  3 Sc 2.55, 1 Pb 2.75
S 0.7935 0.2435 0.7195  2 Sc 2.56, 1 Pb 2.70, 1 Dy 2.71
S 0.2435 0.7935 0.7195  2 Sc 2.56, 1 Pb 2.70, 1 Dy 2.71
S 0.2435 0.2435 0.7195  2 Sc 2.56, 1 Pb 2.70, 1 Dy 2.71
S 0.7517 0.2330 0.2637  3 Sc 2.50-2.70, 1 Dy 2.78
S 0.7517 0.7517 0.2637  3 Sc 2.50-2.70, 1 Dy 2.78
Sc 0.0002 0.4978 0.5018  6 S 2.55-2.70
Sc 0.0002 0.0002 0.5018  6 S 2.55-2.70
Sc 0.4978 0.0002 0.5018  6 S 2.55-2.70
Sc 0.6272 0.6272 0.1185  4 S 2.50-2.56
Pb 0.3694 0.3694 0.8917  4 S 2.70-2.75
Dy 0.0013 0.0013 0.9960  6 S 2.71-2.78

=====

Record 3
Below is ZrMnC2 after structural relaxation, with properties calculated at the PBE level.

Its density of states at the Fermi level is 3.611 states/eV per cell. The formation energy comes out at 0.5803 eV/atom. The total energy is -33.8 eV for the cell shown. For the total magnetic moment, the calculation gives 0.00 Bohr magnetons per cell.

a = 3.8575 Å, b = 3.8575 Å, c = 3.8575 Å
α = 60.00°, β = 60.00°, γ = 60.00°
With the nearest neighbours (Å) after each atom.
Fractional coordinates of all 4 atoms:
Zr 0.5000 0.5000 0.5000  8 C 2.36
C 0.2500 0.2500 0.2500  4 Zr 2.36, 4 Mn 2.36
C 0.7500 0.7500 0.7500  4 Mn 2.36, 4 Zr 2.36
Mn 0.0000 0.0000 0.0000  8 C 2.36

=====

Record 4
Below is MnCu4Pt5 after structural relaxation, with properties calculated at the PBE level.

Its density of states at the Fermi level is 9.275 states/eV per cell. The formation energy comes out at -0.1795 eV/atom. The total energy is -57.6 eV for the cell shown. For the total magnetic moment, the calculation gives 4.56 Bohr magnetons per cell.

a = 3.1117 Å, b = 3.1117 Å, c = 14.5335 Å
α = 90.00°, β = 90.00°, γ = 90.00°
With the nearest neighbours (Å) after each atom.
Fractional coordinates of all 10 atoms:
Pt 0.5000 0.5000 0.8969  4 Cu 2.65, 4 Mn 2.66, 1 Pt 2.89
Pt 0.5000 0.5000 0.5000  8 Cu 2.63, 2 Pt 2.88
Pt 0.5000 0.5000 0.6981  8 Cu 2.62-2.63, 2 Pt 2.88-2.89
Pt 0.5000 0.5000 0.3019  8 Cu 2.62-2.63, 2 Pt 2.88-2.89
Pt 0.5000 0.5000 0.1031  4 Cu 2.65, 4 Mn 2.66, 1 Pt 2.89
Mn 0.0000 0.0000 0.0000  8 Pt 2.66, 2 Cu 2.97
Cu 0.0000 0.0000 0.7956  8 Pt 2.62-2.65, 1 Cu 2.86
Cu 0.0000 0.0000 0.2044  8 Pt 2.62-2.65, 1 Cu 2.86
Cu 0.0000 0.0000 0.5990  8 Pt 2.63, 2 Cu 2.86-2.88
Cu 0.0000 0.0000 0.4010  8 Pt 2.63, 2 Cu 2.86-2.88

=====

Record 5
Below is DyEr3H8 after structural relaxation, with properties calculated at the PBE level.

Its density of states at the Fermi level is 2.479 states/eV per cell. The total energy is -53.8 eV for the cell shown. For the total magnetic moment, the calculation gives 0.00 Bohr magnetons per cell.

a = 5.1216 Å, b = 5.1216 Å, c = 5.1216 Å
α = 90.00°, β = 90.00°, γ = 90.00°
With the nearest neighbours (Å) after each atom.
Fractional coordinates of all 12 atoms:
H 0.2519 0.2519 0.7481  3 Er 2.21, 1 Dy 2.23
H 0.2519 0.7481 0.7481  3 Er 2.21, 1 Dy 2.23
H 0.7481 0.2519 0.2519  3 Er 2.21, 1 Dy 2.23
H 0.2519 0.7481 0.2519  3 Er 2.21, 1 Dy 2.23
H 0.7481 0.2519 0.7481  3 Er 2.21, 1 Dy 2.23
H 0.2519 0.2519 0.2519  3 Er 2.21, 1 Dy 2.23
H 0.7481 0.7481 0.7481  3 Er 2.21, 1 Dy 2.23
H 0.7481 0.7481 0.2519  3 Er 2.21, 1 Dy 2.23
Er 0.5000 0.5000 0.0000  8 H 2.21
Er 0.5000 0.0000 0.5000  8 H 2.21
Er 0.0000 0.5000 0.5000  8 H 2.21
Dy 0.0000 0.0000 0.0000  8 H 2.23

=====

Record 6
Below is Ba2SbPd2 after structural relaxation, with properties calculated at the PBE level.

For the offset from the most stable computed form, the calculation gives 0.087 eV per atom. Its density of states at the Fermi level is 6.628 states/eV per cell. The total energy is -43.2 eV for the cell shown. For the total magnetic moment, the calculation gives 0.00 Bohr magnetons per cell.

a = 7.7411 Å, b = 7.7411 Å, c = 4.7716 Å
α = 90.00°, β = 90.00°, γ = 90.00°
With the nearest neighbours (Å) after each atom.
Fractional coordinates of all 10 atoms:
Sb 0.5000 0.5000 0.0000  4 Pd 3.05
Sb 0.0000 0.0000 0.0000  4 Pd 3.05
Pd 0.6279 0.1279 0.0000  1 Pd 2.80, 2 Sb 3.05
Pd 0.1279 0.3721 0.0000  1 Pd 2.80, 2 Sb 3.05
Pd 0.3721 0.8721 0.0000  1 Pd 2.80, 2 Sb 3.05
Pd 0.8721 0.6279 0.0000  1 Pd 2.80, 2 Sb 3.05
Ba 0.8173 0.3173 0.5000  6 Pd 3.16-3.41
Ba 0.3173 0.1827 0.5000  6 Pd 3.16-3.41
Ba 0.6827 0.8173 0.5000  6 Pd 3.16-3.41
Ba 0.1827 0.6827 0.5000  6 Pd 3.16-3.41

=====

Record 7
Below is LiAl3 after structural relaxation, with properties calculated at the PBE level.

Its density of states at the Fermi level is 2.009 states/eV per cell. The formation energy comes out at -0.0784 eV/atom. The total energy is -26.9 eV for the cell shown. For the total magnetic moment, the calculation gives 0.00 Bohr magnetons per cell.

a = 5.6495 Å, b = 5.6495 Å, c = 4.7274 Å
α = 90.00°, β = 90.00°, γ = 120.00°
With the nearest neighbours (Å) after each atom.
Fractional coordinates of all 8 atoms:
Al 0.8331 0.6663 0.2500  8 Al 2.82-2.87, 4 Li 2.82-2.87
Al 0.3337 0.1669 0.2500  8 Al 2.82-2.87, 4 Li 2.82-2.87
Al 0.8331 0.1669 0.2500  8 Al 2.82-2.87, 4 Li 2.82-2.87
Al 0.6663 0.8331 0.7500  8 Al 2.82-2.87, 4 Li 2.82-2.87
Al 0.1669 0.8331 0.7500  8 Al 2.82-2.87, 4 Li 2.82-2.87
Al 0.1669 0.3337 0.7500  8 Al 2.82-2.87, 4 Li 2.82-2.87
Li 0.3333 0.6667 0.2500  12 Al 2.82-2.87
Li 0.6667 0.3333 0.7500  12 Al 2.82-2.87

=====

Record 8
Below is MgZr2MnSb after structural relaxation, with properties calculated at the PBE level.

Its density of states at the Fermi level is 6.813 states/eV per cell. The total energy is -27.5 eV for the cell shown. For the total magnetic moment, the calculation gives 0.00 Bohr magnetons per cell.

a = 5.3281 Å, b = 4.6333 Å, c = 5.3281 Å
α = 90.00°, β = 90.00°, γ = 90.00°
With the nearest neighbours (Å) after each atom.
Fractional coordinates of all 5 atoms:
Zr 0.5000 0.0000 0.0000  2 Sb 2.66
Zr 0.0000 0.0000 0.5000  2 Sb 2.66
Sb 0.0000 0.0000 0.0000  2 Mn 2.32
Mn 0.0000 0.5000 0.0000  2 Sb 2.32
Mg 0.5000 0.5000 0.5000  8 Zr 3.53, 4 Mn 3.77

=====

Record 9
Below is NdHfTh2N4 after structural relaxation, with properties calculated at the PBE level.

Its density of states at the Fermi level is 2.736 states/eV per cell. The total energy is -74.9 eV for the cell shown. For the total magnetic moment, the calculation gives 0.00 Bohr magnetons per cell.

a = 3.5040 Å, b = 6.1595 Å, c = 6.1405 Å
α = 108.96°, β = 90.00°, γ = 90.00°
With the nearest neighbours (Å) after each atom.
Fractional coordinates of all 8 atoms:
Th 0.0000 0.5000 0.5000  6 N 2.65-2.70
Th 0.5000 0.0000 0.5000  6 N 2.48
N 0.0000 0.7760 0.2368  1 Hf 2.31, 2 Th 2.48, 2 Nd 2.54
N 0.5000 0.7818 0.7761  2 Hf 2.36, 1 Th 2.48, 1 Nd 2.54
N 0.5000 0.2182 0.2239  2 Hf 2.36, 1 Th 2.48, 1 Nd 2.54
N 0.0000 0.2240 0.7632  1 Hf 2.31, 2 Th 2.48, 2 Nd 2.54
Hf 0.0000 0.0000 0.0000  6 N 2.31-2.36
Nd 0.5000 0.5000 0.0000  6 N 2.54

=====

Record 10
Below is HAu after structural relaxation, with properties calculated at the PBE level.

Its density of states at the Fermi level is 0.278 states/eV per cell. The total energy is -6.1 eV for the cell shown. For the total magnetic moment, the calculation gives 0.00 Bohr magnetons per cell.

a = 2.8263 Å, b = 3.1674 Å, c = 3.2954 Å
α = 81.12°, β = 67.30°, γ = 67.26°
With the nearest neighbours (Å) after each atom.
Fractional coordinates of all 2 atoms:
H 0.2123 0.9595 0.2945  3 Au 1.84-1.86
Au 0.8946 0.9582 0.8992  3 H 1.84-1.86